AuCl2 (PBEsol, relaxed); ΔE_f (raw) = 0.6 eV/f.u.; M_tot = 0.0 Bohr magnetons per cell; symmetry = P4/mmm; theoretical density = 7.13 Mg/m³
1.0
4.453 0.000 0.000
0.000 4.453 0.000
0.000 0.000 3.145
Au Cl
1 2
direct
0.000 0.000 0.000 Au
0.000 0.500 0.500 Cl
0.500 0.000 0.500 Cl